KAl2Si | PBE | relaxed

Values from the calculation:
ΔE_f (raw): 258 meV per atom
SG: P2/m

Lattice parameters (Å, degrees): 4.424 2.871 7.430 80.56 90.00 90.00
Sites, in units of the cell vectors:
K: 0.500 0.250 0.250
Si: 0.500 0.750 0.750
Al: 0.000 0.904 0.920
Al: 0.000 0.596 0.580